## SbN2Cl4 (PBE-GGA)

Data for crystalline SbN2Cl4 at its relaxed geometry.

```
7
Lattice="3.945 0.000 0.000 1.944 4.396 0.000 0.218 1.915 12.005" Properties=species:S:1:pos:R:3 pbc="T T T"
Sb 0.000 0.000 0.000
N 1.720 3.869 7.157
N 4.388 2.442 4.848
Cl 1.169 2.397 7.224
Cl 1.970 1.268 1.332
Cl 4.138 5.043 10.673
Cl 4.939 3.914 4.781
```

Values from the calculation:
Magnetic moment: 1.99 μB per cell
Uncorrected energy: -3.352 eV per atom
D(E_F): 1.90 states/eV/cell